# 1
The following is a DFT calculation (PBE-GGA) of a relaxed Na2HfTl crystal.

The total energy is -3.288 eV/atom. The calculation puts the theoretical density at 7.60 g cm⁻³.

It has space group F-43m (No. 216), with a = 7.210 Å, b = 7.210 Å, c = 7.210 Å, α = 90.00°, β = 90.00° and γ = 90.00°. The asymmetric unit holds Na at (0.000, 0.000, 0.000), Na at (0.250, 0.250, 0.250), Hf at (0.250, 0.250, 0.750) and Tl at (0.000, 0.000, 0.500).



# 2
The following is a DFT calculation (PBE-GGA) of a relaxed NaTmHf crystal.

The value obtained for the energy above the most stable polymorph in this dataset is 0.00 eV/f.u. The total energy is -3.899 eV/atom. The calculation puts the theoretical density at 6.25 g cm⁻³.

It has space group F-43m (No. 216), with a = 7.329 Å, b = 7.329 Å, c = 7.329 Å, α = 90.00°, β = 90.00° and γ = 90.00°. The asymmetric unit holds Na at (0.000, 0.000, 0.000), Tm at (0.000, 0.000, 0.500) and Hf at (0.250, 0.250, 0.250).



# 3
The following is a DFT calculation (PBE-GGA) of a relaxed NaHfZn crystal.

The total energy is -3.008 eV/atom. The calculation puts the theoretical density at 6.70 g cm⁻³.

It has space group F-43m (No. 216), with a = 6.420 Å, b = 6.420 Å, c = 6.420 Å, α = 90.00°, β = 90.00° and γ = 90.00°. The asymmetric unit holds Na at (0.000, 0.000, 0.000), Hf at (0.250, 0.250, 0.750) and Zn at (0.250, 0.250, 0.250).



# 4
The following is a DFT calculation (PBE-GGA) of a relaxed NaHfZr crystal.

The value obtained for the energy above the most stable polymorph in this dataset is 0.00 eV/f.u. The total energy is -5.099 eV/atom. The calculation puts the theoretical density at 5.68 g cm⁻³.

It has space group F-43m (No. 216), with a = 6.996 Å, b = 6.996 Å, c = 6.996 Å, α = 90.00°, β = 90.00° and γ = 90.00°. The asymmetric unit holds Na at (0.000, 0.000, 0.000), Hf at (0.000, 0.000, 0.500) and Zr at (0.250, 0.250, 0.750).



# 5
The following is a DFT calculation (PBE-GGA) of a relaxed Hf2Nb crystal.

The value obtained for the energy above the most stable polymorph in this dataset is 8.05 eV/f.u. The total energy is -7.215 eV/atom. The calculation puts the theoretical density at 3.92 g cm⁻³.

It has space group Fd-3m (No. 227, origin choice 2), with a = 11.514 Å, b = 11.514 Å, c = 11.514 Å, α = 90.00°, β = 90.00° and γ = 90.00°. The asymmetric unit holds Hf at (0.000, 0.000, 0.000) and Nb at (0.125, 0.125, 0.125).



# 6
The following is a DFT calculation (PBE-GGA) of a relaxed HfNb crystal.

The total energy is -9.023 eV/atom. The calculation puts the theoretical density at 10.25 g cm⁻³.

It has space group Fm-3m (No. 225), with a = 5.603 Å, b = 5.603 Å, c = 5.603 Å, α = 90.00°, β = 90.00° and γ = 90.00°. The asymmetric unit holds Hf at (0.000, 0.000, 0.000) and Nb at (0.000, 0.000, 0.500).



# 7
The following is a DFT calculation (PBE-GGA) of a relaxed HfNb crystal.

The total energy is -7.402 eV/atom. The calculation puts the theoretical density at 8.11 g cm⁻³.

It has space group F-43m (No. 216), with a = 6.058 Å, b = 6.058 Å, c = 6.058 Å, α = 90.00°, β = 90.00° and γ = 90.00°. The asymmetric unit holds Hf at (0.000, 0.000, 0.000) and Nb at (0.250, 0.250, 0.750).



# 8
The following is a DFT calculation (PBE-GGA) of a relaxed Hf2Nb crystal.

The value obtained for the energy above the most stable polymorph in this dataset is 1.02 eV/f.u. The total energy is -9.559 eV/atom. The calculation puts the theoretical density at 11.94 g cm⁻³.

It has space group P6_3/mmc (No. 194), with a = 5.6173 Å, b = 5.6173 Å, c = 9.1562 Å, α = 90.00°, β = 90.00° and γ = 120.00°. The asymmetric unit holds Hf at (0.0000, 0.0000, 0.0000), Hf at (0.1733, 0.3466, 0.2500) and Nb at (0.3333, 0.6667, 0.5639).



# 9
The following is a DFT calculation (PBE-GGA) of a relaxed HfNb crystal.

The total energy is -9.906 eV/atom. The calculation puts the theoretical density at 11.32 g cm⁻³.

It has space group Pm-3m (No. 221), with a = 3.415 Å, b = 3.415 Å, c = 3.415 Å, α = 90.00°, β = 90.00° and γ = 90.00°. The asymmetric unit holds Hf at (0.000, 0.000, 0.000) and Nb at (0.500, 0.500, 0.500).



# 10
The following is a DFT calculation (PBE-GGA) of a relaxed HfNb2 crystal.

The total energy is -10.022 eV/atom. The calculation puts the theoretical density at 10.15 g cm⁻³.

It has space group P6_3/mmc (No. 194), with a = 5.5558 Å, b = 5.5558 Å, c = 8.9221 Å, α = 90.00°, β = 90.00° and γ = 120.00°. The asymmetric unit holds Hf at (0.3333, 0.6667, 0.0635), Nb at (0.0000, 0.0000, 0.0000) and Nb at (0.1716, 0.3432, 0.7500).



# 11
The following is a DFT calculation (PBE-GGA) of a relaxed Hf2Nb crystal.

The value obtained for the energy above the most stable polymorph in this dataset is 0.00 eV/f.u. The total energy is -9.897 eV/atom. The calculation puts the theoretical density at 11.90 g cm⁻³.

It has space group C2/m (No. 12), with a = 11.567 Å, b = 3.009 Å, c = 8.521 Å, α = 90.00°, β = 122.09° and γ = 90.00°. The asymmetric unit holds Hf at (0.117, 0.000, 0.332), Hf at (0.134, 0.500, 0.014) and Nb at (0.129, 0.500, 0.665).



# 12
The following is a DFT calculation (PBE-GGA) of a relaxed Hf2Nb crystal.

The value obtained for the energy above the most stable polymorph in this dataset is 1.22 eV/f.u. The total energy is -9.492 eV/atom. The calculation puts the theoretical density at 11.76 g cm⁻³.

It has space group Fd-3m (No. 227, origin choice 2), with a = 7.979 Å, b = 7.979 Å, c = 7.979 Å, α = 90.00°, β = 90.00° and γ = 90.00°. The asymmetric unit holds Hf at (0.000, 0.000, 0.000) and Nb at (0.125, 0.125, 0.625).



# 13
The following is a DFT calculation (PBE-GGA) of a relaxed Hf2Nb crystal.

The value obtained for the energy above the most stable polymorph in this dataset is 1.09 eV/f.u. The total energy is -9.534 eV/atom. The calculation puts the theoretical density at 11.89 g cm⁻³.

It has space group P6_3/mmc (No. 194), with a = 5.6594 Å, b = 5.6594 Å, c = 18.1289 Å, α = 90.00°, β = 90.00° and γ = 120.00°. The asymmetric unit holds Hf at (0.0000, 0.5000, 0.0000), Hf at (0.1581, 0.3162, 0.2500), Hf at (0.3333, 0.6667, 0.1291), Nb at (0.0000, 0.0000, 0.0933) and Nb at (0.3333, 0.6667, 0.6562).



# 14
The following is a DFT calculation (PBE-GGA) of a relaxed HfNb2 crystal.

The total energy is -10.008 eV/atom. The calculation puts the theoretical density at 10.11 g cm⁻³.

It has space group P6_3/mmc (No. 194), with a = 5.5666 Å, b = 5.5666 Å, c = 17.8316 Å, α = 90.00°, β = 90.00° and γ = 120.00°. The asymmetric unit holds Hf at (0.0000, 0.0000, 0.0937), Hf at (0.3333, 0.6667, 0.1565), Nb at (0.0000, 0.5000, 0.0000), Nb at (0.1611, 0.3222, 0.7500) and Nb at (0.3333, 0.6667, 0.6259).



# 15
The following is a DFT calculation (PBE-GGA) of a relaxed HfNb2 crystal.

The total energy is -9.755 eV/atom. The calculation puts the theoretical density at 9.97 g cm⁻³.

It has space group Pnma (No. 62), with a = 7.422 Å, b = 3.221 Å, c = 10.152 Å, α = 90.00°, β = 90.00° and γ = 90.00°. The asymmetric unit holds Hf at (0.214, 0.250, 0.168), Nb at (0.038, 0.750, 0.392) and Nb at (0.152, 0.750, 0.931).



# 16
The following is a DFT calculation (PBE-GGA) of a relaxed HfNbNi2 crystal.

The total energy is -7.794 eV/atom. The calculation puts the theoretical density at 10.88 g cm⁻³.

It has space group F-43m (No. 216), with a = 6.191 Å, b = 6.191 Å, c = 6.191 Å, α = 90.00°, β = 90.00° and γ = 90.00°. The asymmetric unit holds Hf at (0.000, 0.000, 0.000), Nb at (0.250, 0.250, 0.750), Ni at (0.000, 0.000, 0.500) and Ni at (0.250, 0.250, 0.250).



# 17
The following is a DFT calculation (PBE-GGA) of a relaxed HfNbNi crystal.

The value obtained for the energy above the most stable polymorph in this dataset is 0.00 eV/f.u. The total energy is -8.379 eV/atom. The calculation puts the theoretical density at 9.84 g cm⁻³.

It has space group F-43m (No. 216), with a = 6.062 Å, b = 6.062 Å, c = 6.062 Å, α = 90.00°, β = 90.00° and γ = 90.00°. The asymmetric unit holds Hf at (0.000, 0.000, 0.000), Nb at (0.000, 0.000, 0.500) and Ni at (0.250, 0.250, 0.250).



# 18
The following is a DFT calculation (PBE-GGA) of a relaxed Hf2NbNi crystal.

The total energy is -8.779 eV/atom. The calculation puts the theoretical density at 11.90 g cm⁻³.

It has space group F-43m (No. 216), with a = 6.572 Å, b = 6.572 Å, c = 6.572 Å, α = 90.00°, β = 90.00° and γ = 90.00°. The asymmetric unit holds Hf at (0.000, 0.000, 0.000), Hf at (0.250, 0.250, 0.250), Nb at (0.250, 0.250, 0.750) and Ni at (0.000, 0.000, 0.500).



# 19
The following is a DFT calculation (PBE-GGA) of a relaxed HfNb2Ni crystal.

The total energy is -8.978 eV/atom. The calculation puts the theoretical density at 10.29 g cm⁻³.

It has space group F-43m (No. 216), with a = 6.487 Å, b = 6.487 Å, c = 6.487 Å, α = 90.00°, β = 90.00° and γ = 90.00°. The asymmetric unit holds Hf at (0.000, 0.000, 0.000), Nb at (0.000, 0.000, 0.500), Nb at (0.250, 0.250, 0.750) and Ni at (0.250, 0.250, 0.250).



# 20
The following is a DFT calculation (PBE-GGA) of a relaxed HfNbNiP crystal.

The value obtained for the energy above the most stable polymorph in this dataset is 0.00 eV/f.u. The total energy is -8.604 eV/atom. The calculation puts the theoretical density at 9.79 g cm⁻³.

It has space group P2_1/m (No. 11), with a = 5.049 Å, b = 3.569 Å, c = 7.247 Å, α = 90.00°, β = 110.24° and γ = 90.00°. The asymmetric unit holds Hf at (0.205, 0.250, 0.425), Nb at (0.196, 0.250, 0.932), Ni at (0.354, 0.750, 0.717) and P at (0.356, 0.750, 0.205).



# 21
The following is a DFT calculation (PBE-GGA) of a relaxed HfNbNiPb crystal.

The value obtained for the energy above the most stable polymorph in this dataset is 0.00 eV/f.u. The total energy is -6.991 eV/atom. The calculation puts the theoretical density at 11.84 g cm⁻³.

It has space group F-43m (No. 216), with a = 6.705 Å, b = 6.705 Å, c = 6.705 Å, α = 90.00°, β = 90.00° and γ = 90.00°. The asymmetric unit holds Hf at (0.000, 0.000, 0.000), Nb at (0.250, 0.250, 0.250), Ni at (0.250, 0.250, 0.750) and Pb at (0.000, 0.000, 0.500).



# 22
The following is a DFT calculation (PBE-GGA) of a relaxed HfNbSi4Ni2 crystal.

The total energy is -7.208 eV/atom. The calculation puts the theoretical density at 7.23 g cm⁻³.

It has space group P4mm (No. 99), with a = 3.615 Å, b = 3.615 Å, c = 8.811 Å, α = 90.00°, β = 90.00° and γ = 90.00°. The asymmetric unit holds Hf at (0.000, 0.000, 0.000), Nb at (0.500, 0.500, 0.535), Si at (0.000, 0.000, 0.437), Si at (0.000, 0.500, 0.760), Si at (0.500, 0.500, 0.110) and Ni at (0.000, 0.500, 0.270).



# 23
The following is a DFT calculation (PBE-GGA) of a relaxed HfNbNiSn crystal.

The value obtained for the energy above the most stable polymorph in this dataset is 0.00 eV/f.u. The total energy is -7.338 eV/atom. The calculation puts the theoretical density at 10.37 g cm⁻³.

It has space group F-43m (No. 216), with a = 6.600 Å, b = 6.600 Å, c = 6.600 Å, α = 90.00°, β = 90.00° and γ = 90.00°. The asymmetric unit holds Hf at (0.000, 0.000, 0.000), Nb at (0.250, 0.250, 0.250), Ni at (0.250, 0.250, 0.750) and Sn at (0.000, 0.000, 0.500).



# 24
The following is a DFT calculation (PBE-GGA) of a relaxed HfNbTlNi crystal.

The value obtained for the energy above the most stable polymorph in this dataset is 0.00 eV/f.u. The total energy is -6.641 eV/atom. The calculation puts the theoretical density at 11.92 g cm⁻³.

It has space group F-43m (No. 216), with a = 6.679 Å, b = 6.679 Å, c = 6.679 Å, α = 90.00°, β = 90.00° and γ = 90.00°. The asymmetric unit holds Hf at (0.000, 0.000, 0.000), Nb at (0.250, 0.250, 0.250), Tl at (0.000, 0.000, 0.500) and Ni at (0.250, 0.250, 0.750).



# 25
The following is a DFT calculation (PBE-GGA) of a relaxed HfNb2O4 crystal.

The total energy is -9.203 eV/atom. The calculation puts the theoretical density at 7.93 g cm⁻³.

It has space group Fd-3m (No. 227, origin choice 2), with a = 8.952 Å, b = 8.952 Å, c = 8.952 Å, α = 90.00°, β = 90.00° and γ = 90.00°. The asymmetric unit holds Hf at (0.125, 0.125, 0.125), Nb at (0.000, 0.000, 0.500) and O at (0.000, 0.000, 0.250).



# 26
The following is a DFT calculation (PBE-GGA) of a relaxed HfNbOs crystal.

The value obtained for the energy above the most stable polymorph in this dataset is 0.00 eV/f.u. The total energy is -10.495 eV/atom. The calculation puts the theoretical density at 12.35 g cm⁻³.

It has space group F-43m (No. 216), with a = 6.284 Å, b = 6.284 Å, c = 6.284 Å, α = 90.00°, β = 90.00° and γ = 90.00°. The asymmetric unit holds Hf at (0.000, 0.000, 0.000), Nb at (0.000, 0.000, 0.500) and Os at (0.250, 0.250, 0.250).